Record 1
## Tb2Dy6Tm3Th (GGA-PBE)

Data for crystalline Tb2Dy6Tm3Th at its relaxed geometry.

E_form, eV per atom: 0.028
E_tot, eV per atom: -4.78
Fermi-level density of states, states/eV per atom: 1.33
Space-group type: C2/m, No. 12

a b c (Å): 6.1256 6.1256 11.7235
angles (deg): 95.00 95.00 119.94
Fractional positions:
Dy 0.5850 0.9153 0.7488
Dy 0.2455 0.2455 0.7487
Dy 0.0847 0.4150 0.2512
Dy 0.7545 0.7545 0.2513
Dy 0.9153 0.5850 0.7488
Dy 0.4150 0.0847 0.2512
Tm 0.8328 0.1672 0.5000
Tm 0.1672 0.8328 0.5000
Tm 0.5000 0.5000 0.5000
Tb 0.3334 0.6666 0.0000
Tb 0.6666 0.3334 0.0000
Th 0.0000 0.0000 0.0000

---

Record 2
## Tb6Dy2TmTh (GGA-PBE)

Data for crystalline Tb6Dy2TmTh at its relaxed geometry.

E_form, eV per atom: 0.150
E_tot, eV per atom: -4.74
Fermi-level density of states, states/eV per atom: 1.42
Space-group type: C2/c, No. 15

a b c (Å): 9.3762 8.7767 8.7767
angles (deg): 116.44 92.92 92.92
Fractional positions:
Tb 0.5590 0.7648 0.1195
Tb 0.6130 0.4829 0.7094
Tb 0.1130 0.7094 0.4829
Tb 0.0590 0.1195 0.7648
Tb 0.3131 0.9892 0.4309
Tb 0.4410 0.2352 0.8805
Tb 0.9410 0.8805 0.2352
Tb 0.8131 0.4309 0.9892
Tb 0.8870 0.2906 0.5171
Tb 0.3870 0.5171 0.2906
Tb 0.6869 0.0108 0.5691
Tb 0.1869 0.5691 0.0108
Th 0.7500 0.0323 0.9677
Th 0.2500 0.9677 0.0323
Dy 0.5533 0.2029 0.3035
Dy 0.4467 0.7971 0.6965
Dy 0.9467 0.6965 0.7971
Dy 0.0533 0.3035 0.2029
Tm 0.2500 0.4110 0.5890
Tm 0.7500 0.5890 0.4110